Record 1
Computed, not measured: CeEr2In2 after structural relaxation at the PBE-GGA level of DFT.

Results
- distance to the lowest polymorph of the same formula (meV per atom) = 98
- crystal system = hexagonal
- energy relative to the elements (eV/atom) = -0.04
- total magnetization (Bohr magnetons per cell) = 0.63
- space group = P-6m2 (187)

abc: 5.116 5.116 6.361
angles: 90.00 90.00 120.00
Element x y z (fractional)
Ce 0.333 0.667 0.000
Er 0.333 0.667 0.500
Er 0.667 0.333 0.000
In 0.000 0.000 0.248
In 0.000 0.000 0.752

***

Record 2
Computed, not measured: Ce4ErIn after structural relaxation at the PBE-GGA level of DFT.

Results
- crystal system = orthorhombic
- energy relative to the elements (eV/atom) = -0.09
- total magnetization (Bohr magnetons per cell) = 3.09
- space group = Cmcm (63)

abc: 5.554 6.459 9.618
angles: 70.38 90.00 90.01
Element x y z (fractional)
Ce 0.250 0.775 0.397
Ce 0.250 0.974 0.094
Ce 0.750 0.671 0.603
Ce 0.750 0.568 0.906
Ce 0.750 0.225 0.603
Ce 0.250 0.329 0.397
Ce 0.750 0.026 0.906
Ce 0.250 0.432 0.094
Er 0.750 0.121 0.259
Er 0.250 0.879 0.741
In 0.750 0.626 0.248
In 0.250 0.374 0.752

***

Record 3
Computed, not measured: CeEr2In2 after structural relaxation at the PBE-GGA level of DFT.

Results
- distance to the lowest polymorph of the same formula (meV per atom) = 0
- crystal system = trigonal
- energy relative to the elements (eV/atom) = -0.14
- total magnetization (Bohr magnetons per cell) = 0.77
- space group = P-3m1 (164)

abc: 5.263 5.263 6.445
angles: 90.00 90.00 120.00
Element x y z (fractional)
Ce 0.000 0.000 0.000
Er 0.333 0.667 0.660
Er 0.667 0.333 0.340
In 0.333 0.667 0.183
In 0.667 0.333 0.817

***

Record 4
Computed, not measured: CeErInIr after structural relaxation at the PBE-GGA level of DFT.

Results
- crystal system = cubic
- energy relative to the elements (eV/atom) = -0.45
- total magnetization (Bohr magnetons per cell) = 0.41
- space group = F-43m (216)

abc: 5.113 5.113 5.113
angles: 60.00 60.00 60.00
Element x y z (fractional)
Ir 0.750 0.750 0.750
In 0.250 0.250 0.250
Ce 0.000 0.000 0.000
Er 0.500 0.500 0.500

***

Record 5
Computed, not measured: LaCe2ErIn4 after structural relaxation at the PBE-GGA level of DFT.

Results
- crystal system = trigonal
- energy relative to the elements (eV/atom) = -0.39
- total magnetization (Bohr magnetons per cell) = 1.92
- space group = R-3m (166)

abc: 5.445 5.445 9.484
angles: 73.32 73.32 60.00
Element x y z (fractional)
La 0.000 0.000 0.000
Ce 0.751 0.751 0.747
Ce 0.249 0.249 0.253
Er 0.500 0.500 0.500
In 0.378 0.378 0.867
In 0.873 0.873 0.381
In 0.127 0.127 0.619
In 0.622 0.622 0.133

***

Record 6
Computed, not measured: LaCeErIn after structural relaxation at the PBE-GGA level of DFT.

Results
- crystal system = cubic
- energy relative to the elements (eV/atom) = -0.08
- total magnetization (Bohr magnetons per cell) = 0.14
- space group = F-43m (216)

abc: 5.486 5.486 5.486
angles: 60.00 60.00 60.00
Element x y z (fractional)
La 0.500 0.500 0.500
In 0.250 0.250 0.250
Ce 0.750 0.750 0.750
Er 0.000 0.000 0.000

***

Record 7
Computed, not measured: Li2CeEr2In2 after structural relaxation at the PBE-GGA level of DFT.

Results
- crystal system = trigonal
- energy relative to the elements (eV/atom) = -0.18
- total magnetization (Bohr magnetons per cell) = 1.32
- space group = R-3m (166)

abc: 4.913 4.913 9.113
angles: 74.36 74.36 60.00
Element x y z (fractional)
Li 0.596 0.596 0.212
Li 0.404 0.404 0.788
Ce 0.000 0.000 0.000
Er 0.128 0.128 0.615
Er 0.872 0.872 0.385
In 0.740 0.740 0.780
In 0.260 0.260 0.220

***

Record 8
Computed, not measured: Li2Ce2ErIn2 after structural relaxation at the PBE-GGA level of DFT.

Results
- crystal system = trigonal
- energy relative to the elements (eV/atom) = -0.21
- total magnetization (Bohr magnetons per cell) = 1.39
- space group = R-3m (166)

abc: 4.672 4.672 9.242
angles: 75.36 75.36 60.00
Element x y z (fractional)
Li 0.595 0.595 0.214
Li 0.405 0.405 0.786
Ce 0.142 0.142 0.573
Ce 0.858 0.858 0.427
Er 0.000 0.000 0.000
In 0.733 0.733 0.801
In 0.267 0.267 0.199

***

- What is the total magnetization in the sixth record?
  0.14 Bohr magnetons per cell